[1]
! LiCaOs2 (SCAN, PBEsol geometry); values from VASP
&SYSTEM
  ibrav = 0, nat = 8, ntyp = 3
/
ATOMIC_SPECIES
Li 6.94 Li.upf
Ca 40.08 Ca.upf
Os 190.23 Os.upf
CELL_PARAMETERS angstrom
3.702 0.000 0.000
0.000 3.702 0.000
0.000 0.000 9.385
ATOMIC_POSITIONS crystal
Li 0.000 0.000 0.000
Li 0.500 0.500 0.500
Ca 0.000 0.000 0.500
Ca 0.500 0.500 0.000
Os 0.000 0.500 0.250
Os 0.000 0.500 0.750
Os 0.500 0.000 0.250
Os 0.500 0.000 0.750
! total magnetization = 0.000 μB per formula unit
! theoretical density = 11.04 g/cm3
! space-group type = I4/mmm, No. 139
! formation energy from the elements = 0.46 eV per atom
! V = 128.6 Å³/cell
! crystal system = tetragonal

=====

[2]
! K6Pd3Br4Cl8 (SCAN, PBEsol geometry); values from VASP
&SYSTEM
  ibrav = 0, nat = 21, ntyp = 4
/
ATOMIC_SPECIES
K 39.10 K.upf
Pd 106.42 Pd.upf
Br 79.90 Br.upf
Cl 35.45 Cl.upf
CELL_PARAMETERS angstrom
4.136 0.000 0.000
0.000 15.571 4.822
0.000 -15.571 4.822
ATOMIC_POSITIONS crystal
K 0.000 0.084 0.915
K 0.000 0.248 0.739
K 0.000 0.413 0.587
K 0.000 0.587 0.413
K 0.000 0.739 0.248
K 0.000 0.915 0.084
Pd 0.500 0.251 0.251
Pd 0.500 0.580 0.915
Pd 0.500 0.915 0.580
Br 0.500 0.167 0.829
Br 0.500 0.501 0.501
Br 0.500 0.829 0.167
Br 0.500 0.999 0.999
Cl 0.500 0.177 0.324
Cl 0.500 0.324 0.177
Cl 0.500 0.342 0.675
Cl 0.500 0.504 0.986
Cl 0.500 0.656 0.844
Cl 0.500 0.675 0.342
Cl 0.500 0.844 0.656
Cl 0.500 0.986 0.504
! total magnetization = 0.000 μB per formula unit
! theoretical density = 3.09 g/cm3
! uncorrected formation energy = -1.476 eV per atom
! space-group type = Amm2, No. 38
! V = 621.1 Å³/cell
! crystal system = orthorhombic

=====

[3]
! Sr2MgAg (SCAN, PBEsol geometry); values from VASP
&SYSTEM
  ibrav = 0, nat = 8, ntyp = 3
/
ATOMIC_SPECIES
Sr 87.62 Sr.upf
Mg 24.30 Mg.upf
Ag 107.87 Ag.upf
CELL_PARAMETERS angstrom
4.670 0.000 0.000
0.000 4.711 0.000
0.000 0.000 12.311
ATOMIC_POSITIONS crystal
Sr 0.000 0.000 0.000
Sr 0.000 0.500 0.500
Sr 0.500 0.000 0.291
Sr 0.500 0.500 0.791
Mg 0.000 0.000 0.704
Mg 0.000 0.500 0.204
Ag 0.500 0.000 0.578
Ag 0.500 0.500 0.078
! total magnetization = 0.062 μB per formula unit
! theoretical density = 3.77 g/cm3
! space-group type = Amm2, No. 38
! formation energy from the elements = -0.18 eV per atom
! V = 270.8 Å³/cell
! crystal system = orthorhombic

=====

[4]
! CuNiAg2 (SCAN, PBEsol geometry); values from VASP
&SYSTEM
  ibrav = 0, nat = 16, ntyp = 3
/
ATOMIC_SPECIES
Cu 63.55 Cu.upf
Ni 58.69 Ni.upf
Ag 107.87 Ag.upf
CELL_PARAMETERS angstrom
6.046 0.000 0.000
0.000 6.046 0.000
0.000 0.000 6.046
ATOMIC_POSITIONS crystal
Cu 0.000 0.000 0.000
Cu 0.000 0.500 0.500
Cu 0.500 0.000 0.500
Cu 0.500 0.500 0.000
Ni 0.250 0.250 0.250
Ni 0.250 0.750 0.750
Ni 0.750 0.250 0.750
Ni 0.750 0.750 0.250
Ag 0.000 0.000 0.500
Ag 0.000 0.500 0.000
Ag 0.250 0.250 0.750
Ag 0.250 0.750 0.250
Ag 0.500 0.000 0.000
Ag 0.500 0.500 0.500
Ag 0.750 0.250 0.250
Ag 0.750 0.750 0.750
! total magnetization = 0.000 μB per formula unit
! theoretical density = 10.16 g/cm3
! space-group type = F-43m, No. 216
! formation energy from the elements = 0.29 eV per atom
! V = 221.0 Å³/cell
! crystal system = cubic

=====

[5]
! FeIF3 (SCAN, PBEsol geometry); values from VASP
&SYSTEM
  ibrav = 0, nat = 5, ntyp = 3
/
ATOMIC_SPECIES
Fe 55.84 Fe.upf
I 126.90 I.upf
F 19.00 F.upf
CELL_PARAMETERS angstrom
4.159 0.000 0.000
0.000 4.159 0.000
0.000 0.000 4.159
ATOMIC_POSITIONS crystal
Fe 0.000 0.000 0.000
I 0.500 0.500 0.500
F 0.000 0.000 0.500
F 0.000 0.500 0.000
F 0.500 0.000 0.000
! total magnetization = 6.000 μB per formula unit
! theoretical density = 5.53 g/cm3
! uncorrected formation energy = -1.424 eV per atom
! space-group type = Pm-3m, No. 221
! V = 72.0 Å³/cell
! crystal system = cubic

=====

[6]
! TaSi2Se (SCAN, PBEsol geometry); values from VASP
&SYSTEM
  ibrav = 0, nat = 8, ntyp = 3
/
ATOMIC_SPECIES
Ta 180.95 Ta.upf
Si 28.09 Si.upf
Se 78.96 Se.upf
CELL_PARAMETERS angstrom
4.303 0.000 0.000
0.000 3.141 0.000
0.000 0.000 9.619
ATOMIC_POSITIONS crystal
Ta 0.000 0.000 0.000
Ta 0.000 0.500 0.500
Si 0.000 0.000 0.272
Si 0.000 0.500 0.772
Si 0.500 0.000 0.588
Si 0.500 0.500 0.088
Se 0.500 0.000 0.839
Se 0.500 0.500 0.339
! total magnetization = 0.000 μB per formula unit
! theoretical density = 8.07 g/cm3
! uncorrected formation energy = 0.139 eV per atom
! space-group type = Amm2, No. 38
! V = 130.0 Å³/cell
! crystal system = orthorhombic

=====

[7]
! NaBi2Te2 (SCAN, PBEsol geometry); values from VASP
&SYSTEM
  ibrav = 0, nat = 10, ntyp = 3
/
ATOMIC_SPECIES
Na 22.99 Na.upf
Bi 208.98 Bi.upf
Te 127.60 Te.upf
CELL_PARAMETERS angstrom
6.113 0.000 0.000
0.000 6.113 0.000
0.000 0.000 9.426
ATOMIC_POSITIONS crystal
Na 0.000 0.000 0.000
Na 0.500 0.500 0.500
Bi 0.000 0.000 0.336
Bi 0.000 0.000 0.664
Bi 0.500 0.500 0.164
Bi 0.500 0.500 0.836
Te 0.000 0.500 0.250
Te 0.000 0.500 0.750
Te 0.500 0.000 0.250
Te 0.500 0.000 0.750
! total magnetization = 0.000 μB per formula unit
! theoretical density = 6.56 g/cm3
! uncorrected formation energy = -0.196 eV per atom
! space-group type = I4/mmm, No. 139
! V = 352.2 Å³/cell
! crystal system = tetragonal

=====

[8]
! Ta2AgHg (SCAN, PBEsol geometry); values from VASP
&SYSTEM
  ibrav = 0, nat = 4, ntyp = 3
/
ATOMIC_SPECIES
Ta 180.95 Ta.upf
Ag 107.87 Ag.upf
Hg 200.59 Hg.upf
CELL_PARAMETERS angstrom
2.829 0.000 0.000
0.000 2.829 0.000
0.000 0.000 8.940
ATOMIC_POSITIONS crystal
Ta 0.000 0.000 0.000
Ta 0.500 0.500 0.249
Ag 0.000 0.000 0.490
Hg 0.500 0.500 0.743
! total magnetization = 0.000 μB per formula unit
! theoretical density = 15.56 g/cm3
! space-group type = P4mm, No. 99
! formation energy from the elements = 0.17 eV per atom
! V = 71.5 Å³/cell
! crystal system = tetragonal

=====

[9]
! Tl2Hg3Te4 (SCAN, PBEsol geometry); values from VASP
&SYSTEM
  ibrav = 0, nat = 18, ntyp = 3
/
ATOMIC_SPECIES
Tl 204.38 Tl.upf
Hg 200.59 Hg.upf
Te 127.60 Te.upf
CELL_PARAMETERS angstrom
6.265 -3.726 0.000
6.265 3.726 0.000
-6.127 0.000 11.883
ATOMIC_POSITIONS crystal
Tl 0.027 0.694 0.960
Tl 0.306 0.973 0.540
Tl 0.694 0.027 0.460
Tl 0.973 0.306 0.040
Hg 0.040 0.289 0.351
Hg 0.289 0.040 0.851
Hg 0.391 0.609 0.250
Hg 0.609 0.391 0.750
Hg 0.711 0.960 0.149
Hg 0.960 0.711 0.649
Te 0.008 0.317 0.721
Te 0.302 0.542 0.560
Te 0.317 0.008 0.221
Te 0.458 0.698 0.940
Te 0.542 0.302 0.060
Te 0.683 0.992 0.779
Te 0.698 0.458 0.440
Te 0.992 0.683 0.279
! total magnetization = 0.000 μB per formula unit
! theoretical density = 9.11 g/cm3
! uncorrected formation energy = -0.212 eV per atom
! space-group type = C2/c, No. 15
! V = 554.7 Å³/cell
! crystal system = monoclinic

=====

[10]
! CaCl2 (SCAN, PBEsol geometry); values from VASP
&SYSTEM
  ibrav = 0, nat = 12, ntyp = 2
/
ATOMIC_SPECIES
Ca 40.08 Ca.upf
Cl 35.45 Cl.upf
CELL_PARAMETERS angstrom
6.219 0.000 0.000
0.000 7.598 0.000
0.000 0.000 6.861
ATOMIC_POSITIONS crystal
Ca 0.000 0.154 0.250
Ca 0.000 0.846 0.750
Ca 0.500 0.346 0.750
Ca 0.500 0.654 0.250
Cl 0.238 0.107 0.578
Cl 0.238 0.893 0.078
Cl 0.262 0.393 0.078
Cl 0.262 0.607 0.578
Cl 0.738 0.393 0.422
Cl 0.738 0.607 0.922
Cl 0.762 0.107 0.922
Cl 0.762 0.893 0.422
! total magnetization = 0.000 μB per formula unit
! theoretical density = 2.27 g/cm3
! uncorrected formation energy = -2.655 eV per atom
! space-group type = Pbcn, No. 60
! V = 324.2 Å³/cell
! crystal system = orthorhombic

=====

[11]
! CsIrC2 (SCAN, PBEsol geometry); values from VASP
&SYSTEM
  ibrav = 0, nat = 8, ntyp = 3
/
ATOMIC_SPECIES
Cs 132.91 Cs.upf
Ir 192.22 Ir.upf
C 12.01 C.upf
CELL_PARAMETERS angstrom
0.000 4.352 4.352
4.352 0.000 4.352
4.352 4.352 0.000
ATOMIC_POSITIONS crystal
Cs 0.125 0.125 0.125
Cs 0.875 0.875 0.875
Ir 0.375 0.375 0.375
Ir 0.625 0.625 0.625
C 0.000 0.500 0.500
C 0.500 0.000 0.500
C 0.500 0.500 0.000
C 0.500 0.500 0.500
! total magnetization = 0.000 μB per formula unit
! theoretical density = 7.03 g/cm3
! space-group type = Fd-3m, No. 227
! formation energy from the elements = 0.56 eV per atom
! V = 164.9 Å³/cell
! crystal system = cubic

=====

[12]
! NaSi2HgSe (SCAN, PBEsol geometry); values from VASP
&SYSTEM
  ibrav = 0, nat = 5, ntyp = 4
/
ATOMIC_SPECIES
Na 22.99 Na.upf
Si 28.09 Si.upf
Hg 200.59 Hg.upf
Se 78.96 Se.upf
CELL_PARAMETERS angstrom
5.051 0.000 0.000
0.000 5.051 0.000
0.000 0.000 4.891
ATOMIC_POSITIONS crystal
Na 0.000 0.000 0.000
Si 0.000 0.500 0.000
Si 0.500 0.000 0.000
Hg 0.500 0.500 0.500
Se 0.000 0.000 0.500
! total magnetization = 0.000 μB per formula unit
! theoretical density = 4.77 g/cm3
! uncorrected formation energy = 1.193 eV per atom
! space-group type = P4/mmm, No. 123
! V = 124.8 Å³/cell
! crystal system = tetragonal